# 1
The following is a DFT calculation (PBE) of crystalline IrSeBr2 at its relaxed geometry.

a = 10.525 Å, b = 10.525 Å, c = 4.624 Å
α = 90.00°, β = 90.00°, γ = 90.00°
Sites, in units of the cell vectors:
Ir  0.000  0.000  0.000
Ir  0.000  0.500  0.250
Ir  0.500  0.000  0.750
Ir  0.500  0.500  0.500
Se  0.000  0.000  0.500
Se  0.000  0.500  0.750
Se  0.500  0.000  0.250
Se  0.500  0.500  0.000
Br  0.002  0.250  0.125
Br  0.250  0.502  0.375
Br  0.250  0.998  0.875
Br  0.498  0.250  0.625
Br  0.502  0.750  0.625
Br  0.750  0.002  0.875
Br  0.750  0.498  0.375
Br  0.998  0.750  0.125

As for the size of the total moment: 0.00 μB/f.u. The raw total energy is -3.617 eV per atom. As for the density of states at the Fermi level: 8.7 states/eV/cell.

# 2
The following is a DFT calculation (PBE) of crystalline CsCrW3 at its relaxed geometry.

a = 4.733 Å, b = 4.733 Å, c = 4.733 Å
α = 90.00°, β = 90.00°, γ = 90.00°
Sites, in units of the cell vectors:
Cs  0.000  0.000  0.000
Cr  0.500  0.500  0.500
W  0.000  0.500  0.500
W  0.500  0.000  0.500
W  0.500  0.500  0.000

As for the size of the total moment: 0.00 μB/f.u. The raw total energy is -7.644 eV per atom. As for the density of states at the Fermi level: 6.0 states/eV/cell. The formation energy comes out at 2.2230 eV per atom.

# 3
The following is a DFT calculation (PBE) of crystalline LiRe2Sb at its relaxed geometry.

a = 3.311 Å, b = 3.311 Å, c = 5.673 Å
α = 90.00°, β = 90.00°, γ = 90.00°
Sites, in units of the cell vectors:
Li  0.000  0.000  0.000
Re  0.500  0.500  0.216
Re  0.500  0.500  0.784
Sb  0.000  0.000  0.500

As for the size of the total moment: 0.00 μB/f.u. The raw total energy is -7.115 eV per atom. As for the density of states at the Fermi level: 2.7 states/eV/cell.